PBE Ta2Ga3W4N3, relaxed; raw total energy = -223.114 eV per cell; total moment = 0.01 μB per formula unit; mass density = 14.11 g/cm³; V = 158.7 Å³/f.u.
1.0
4.325 -2.497 0.000
4.325 2.497 0.000
-2.889 0.000 14.695
Ta Ga W N
4 6 8 6
Direct
0.031 0.865 0.597
0.135 0.969 0.903
0.865 0.031 0.097
0.969 0.135 0.403
0.079 0.268 0.750
0.268 0.079 0.250
0.426 0.574 0.750
0.574 0.426 0.250
0.732 0.921 0.750
0.921 0.732 0.250
0.201 0.366 0.098
0.302 0.465 0.402
0.366 0.201 0.598
0.465 0.302 0.902
0.535 0.698 0.098
0.634 0.799 0.402
0.698 0.535 0.598
0.799 0.634 0.902
0.000 0.500 0.500
0.169 0.661 0.000
0.339 0.831 0.500
0.500 0.000 0.000
0.661 0.169 0.500
0.831 0.339 0.000

=====

PBE Ta4Ga3W2N3, relaxed; raw total energy = -224.270 eV per cell; total moment = 0.01 μB per formula unit; mass density = 13.74 g/cm³; V = 162.3 Å³/f.u.
1.0
4.418 -2.546 0.000
4.418 2.546 0.000
-2.952 0.000 14.428
Ta Ga W N
8 6 4 6
Direct
0.030 0.200 0.096
0.136 0.301 0.404
0.200 0.030 0.596
0.301 0.136 0.904
0.699 0.864 0.096
0.800 0.970 0.404
0.864 0.699 0.596
0.970 0.800 0.904
0.095 0.905 0.250
0.262 0.416 0.750
0.416 0.262 0.250
0.584 0.738 0.750
0.738 0.584 0.250
0.905 0.095 0.750
0.367 0.533 0.097
0.467 0.633 0.403
0.533 0.367 0.597
0.633 0.467 0.903
0.000 0.500 0.000
0.167 0.666 0.500
0.334 0.833 0.000
0.500 0.000 0.500
0.666 0.167 0.000
0.833 0.334 0.500

=====

PBE Y4Ta2Ga3N3, relaxed; raw total energy = -191.317 eV per cell; total moment = 0.00 μB per formula unit; mass density = 7.79 g/cm³; V = 206.5 Å³/f.u.
1.0
5.084 -2.953 0.000
5.084 2.953 0.000
-3.437 0.000 13.756
Y Ta Ga N
8 4 6 6
Direct
0.043 0.192 0.101
0.123 0.300 0.399
0.192 0.043 0.601
0.300 0.123 0.899
0.700 0.877 0.101
0.808 0.957 0.399
0.877 0.700 0.601
0.957 0.808 0.899
0.351 0.525 0.074
0.475 0.649 0.426
0.525 0.351 0.574
0.649 0.475 0.926
0.160 0.840 0.250
0.326 0.417 0.752
0.417 0.326 0.252
0.583 0.674 0.748
0.674 0.583 0.248
0.840 0.160 0.750
0.000 0.500 0.000
0.185 0.658 0.500
0.342 0.815 0.000
0.500 0.000 0.500
0.658 0.185 0.000
0.815 0.342 0.500

=====

PBE Zr2Ta4Ga3N3, relaxed; raw total energy = -216.233 eV per cell; total moment = 0.00 μB per formula unit; mass density = 10.95 g/cm³; V = 175.5 Å³/f.u.
1.0
4.737 -2.746 0.000
4.737 2.746 0.000
-3.229 0.000 13.489
Zr Ta Ga N
4 8 6 6
Direct
0.036 0.872 0.608
0.128 0.964 0.892
0.872 0.036 0.108
0.964 0.128 0.392
0.195 0.362 0.083
0.307 0.471 0.417
0.362 0.195 0.583
0.471 0.307 0.917
0.529 0.693 0.083
0.638 0.805 0.417
0.693 0.529 0.583
0.805 0.638 0.917
0.082 0.335 0.750
0.335 0.082 0.250
0.497 0.503 0.250
0.503 0.497 0.750
0.665 0.918 0.750
0.918 0.665 0.250
0.000 0.500 0.500
0.157 0.686 0.000
0.314 0.843 0.500
0.500 0.000 0.000
0.686 0.157 0.500
0.843 0.314 0.000